Entry 1:
First-principles (GGA-PBE) data for crystalline KScCoSe2 at its relaxed geometry, as listed in Alexandria.

Summary:
VASP energy in eV/f.u.: -22.95
Space-group type: P4/mmm
Density of states at the Fermi level in states/eV/cell: 5.0
Uncorrected formation energy in kJ/mol of formula units: -140.0
Total moment in μB per formula unit: 2.2

Cell lengths 5.261, 5.261, 4.966 Å; angles 90.00, 90.00, 90.00 degrees
Sites, in units of the cell vectors:
K (0.000, 0.000, 0.000)
Sc (0.500, 0.500, 0.500)
Co (0.500, 0.500, 0.000)
Se (0.000, 0.500, 0.500)
Se (0.500, 0.000, 0.500)


Entry 2:
First-principles (GGA-PBE) data for crystalline K2ScZnCo at its relaxed geometry, as listed in Alexandria.

Summary:
VASP energy in eV/f.u.: -13.43
Space-group type: P4/mmm
Density of states at the Fermi level in states/eV/cell: 5.0
Total moment in μB per formula unit: 0.0

Cell lengths 6.314, 6.314, 4.545 Å; angles 90.00, 90.00, 90.00 degrees
Sites, in units of the cell vectors:
K (0.000, 0.500, 0.000)
K (0.500, 0.000, 0.000)
Sc (0.000, 0.000, 0.500)
Zn (0.500, 0.500, 0.500)
Co (0.000, 0.000, 0.000)


Entry 3:
First-principles (GGA-PBE) data for crystalline KCoSe2 at its relaxed geometry, as listed in Alexandria.

Summary:
VASP energy in eV/f.u.: -17.21
Space-group type: I-4m2
Density of states at the Fermi level in states/eV/cell: 3.5
Uncorrected formation energy in kJ/mol of formula units: -196.9
Total moment in μB per formula unit: 0.0

Cell lengths 6.654, 6.654, 6.654 Å; angles 144.81, 144.81, 50.62 degrees
Sites, in units of the cell vectors:
K (0.000, 0.000, 0.000)
Co (0.250, 0.750, 0.500)
Se (0.337, 0.337, 0.000)
Se (0.663, 0.663, 0.000)


Entry 4:
First-principles (GGA-PBE) data for crystalline KCo2Se at its relaxed geometry, as listed in Alexandria.

Summary:
VASP energy in eV/f.u.: -15.51
Space-group type: P4/mmm
Density of states at the Fermi level in states/eV/cell: 3.4
Uncorrected formation energy in kJ/mol of formula units: 317.1
Total moment in μB per formula unit: 3.6

Cell lengths 4.178, 4.178, 4.259 Å; angles 90.00, 90.00, 90.00 degrees
Sites, in units of the cell vectors:
K (0.000, 0.000, 0.000)
Co (0.000, 0.500, 0.500)
Co (0.500, 0.000, 0.500)
Se (0.500, 0.500, 0.000)


Entry 5:
First-principles (GGA-PBE) data for crystalline K6CoSe4 at its relaxed geometry, as listed in Alexandria.

Summary:
VASP energy in eV/f.u.: -37.86
Space-group type: P6_3mc
Uncorrected formation energy in kJ/mol of formula units: -987.3
Total moment in μB per formula unit: 3.0

Cell lengths 10.210, 10.210, 7.985 Å; angles 90.00, 90.00, 120.00 degrees
Sites, in units of the cell vectors:
K (0.056, 0.528, 0.000)
K (0.147, 0.293, 0.679)
K (0.147, 0.853, 0.679)
K (0.293, 0.147, 0.179)
K (0.472, 0.528, 0.000)
K (0.472, 0.944, 0.000)
K (0.528, 0.056, 0.500)
K (0.528, 0.472, 0.500)
K (0.707, 0.853, 0.679)
K (0.853, 0.147, 0.179)
K (0.853, 0.707, 0.179)
K (0.944, 0.472, 0.500)
Co (0.333, 0.667, 0.386)
Co (0.667, 0.333, 0.886)
Se (0.199, 0.398, 0.288)
Se (0.199, 0.801, 0.288)
Se (0.333, 0.667, 0.698)
Se (0.398, 0.199, 0.788)
Se (0.602, 0.801, 0.288)
Se (0.667, 0.333, 0.198)
Se (0.801, 0.199, 0.788)
Se (0.801, 0.602, 0.788)


Entry 6:
First-principles (GGA-PBE) data for crystalline KCo2Se at its relaxed geometry, as listed in Alexandria.

Summary:
VASP energy in eV/f.u.: -17.26
Space-group type: Imm2
Density of states at the Fermi level in states/eV/cell: 2.5
Uncorrected formation energy in kJ/mol of formula units: 148.3
Total moment in μB per formula unit: 3.1

Cell lengths 5.881, 5.881, 5.881 Å; angles 148.23, 119.60, 69.88 degrees
Sites, in units of the cell vectors:
K (0.000, 0.000, 0.000)
Co (0.479, 0.479, 0.000)
Co (0.641, 0.141, 0.500)
Se (0.307, 0.807, 0.500)


Entry 7:
First-principles (GGA-PBE) data for crystalline K4CoSe at its relaxed geometry, as listed in Alexandria.

Summary:
VASP energy in eV/f.u.: -11.56
Space-group type: F-43m
Density of states at the Fermi level in states/eV/cell: 7.5
Uncorrected formation energy in kJ/mol of formula units: 329.6
Total moment in μB per formula unit: 1.7

Cell lengths 6.837, 6.837, 6.837 Å; angles 60.00, 60.00, 60.00 degrees
Sites, in units of the cell vectors:
K (0.123, 0.123, 0.123)
K (0.123, 0.123, 0.630)
K (0.123, 0.630, 0.123)
K (0.630, 0.123, 0.123)
Co (0.500, 0.500, 0.500)
Se (0.750, 0.750, 0.750)


Entry 8:
First-principles (GGA-PBE) data for crystalline KCo2Se at its relaxed geometry, as listed in Alexandria.

Summary:
VASP energy in eV/f.u.: -14.94
Space-group type: Cmmm
Density of states at the Fermi level in states/eV/cell: 5.0
Uncorrected formation energy in kJ/mol of formula units: 372.1
Total moment in μB per formula unit: 3.5

Cell lengths 5.688, 5.688, 2.703 Å; angles 90.00, 90.00, 119.62 degrees
Sites, in units of the cell vectors:
K (0.000, 0.000, 0.000)
Co (0.000, 0.500, 0.500)
Co (0.500, 0.000, 0.500)
Se (0.500, 0.500, 0.000)


Entry 9:
First-principles (GGA-PBE) data for crystalline KCo2Se at its relaxed geometry, as listed in Alexandria.

Summary:
VASP energy in eV/f.u.: -17.77
Space-group type: P2/m
Density of states at the Fermi level in states/eV/cell: 4.8
Uncorrected formation energy in kJ/mol of formula units: 99.0
Total moment in μB per formula unit: 3.1

Cell lengths 4.601, 4.031, 5.409 Å; angles 90.00, 90.23, 90.00 degrees
Sites, in units of the cell vectors:
K (0.000, 0.000, 0.000)
Co (0.236, 0.500, 0.501)
Co (0.764, 0.500, 0.499)
Se (0.500, 0.000, 0.500)


Entry 10:
First-principles (GGA-PBE) data for crystalline KCo2Se at its relaxed geometry, as listed in Alexandria.

Summary:
VASP energy in eV/f.u.: -18.81
Space-group type: R3m
Density of states at the Fermi level in states/eV/cell: 3.2
Uncorrected formation energy in kJ/mol of formula units: -1.2
Total moment in μB per formula unit: 2.8

Cell lengths 6.407, 6.407, 6.407 Å; angles 36.98, 36.98, 36.98 degrees
Sites, in units of the cell vectors:
K (0.000, 0.000, 0.000)
Co (0.190, 0.190, 0.190)
Co (0.513, 0.513, 0.513)
Se (0.807, 0.807, 0.807)


Entry 11:
First-principles (GGA-PBE) data for crystalline KCoSe2 at its relaxed geometry, as listed in Alexandria.

Summary:
VASP energy in eV/f.u.: -16.18
Space-group type: Imm2
Density of states at the Fermi level in states/eV/cell: 3.5
Uncorrected formation energy in kJ/mol of formula units: -97.5
Total moment in μB per formula unit: 1.7

Cell lengths 8.052, 8.052, 8.052 Å; angles 156.10, 154.82, 34.99 degrees
Sites, in units of the cell vectors:
K (0.000, 0.000, 0.000)
Co (0.248, 0.748, 0.500)
Se (0.358, 0.358, 0.000)
Se (0.679, 0.179, 0.500)


Entry 12:
First-principles (GGA-PBE) data for crystalline KCo2Se at its relaxed geometry, as listed in Alexandria.

Summary:
VASP energy in eV/f.u.: -18.15
Space-group type: P4mm
Density of states at the Fermi level in states/eV/cell: 4.9
Uncorrected formation energy in kJ/mol of formula units: 61.8
Total moment in μB per formula unit: 1.1

Cell lengths 3.629, 3.629, 6.386 Å; angles 90.00, 90.00, 90.00 degrees
Sites, in units of the cell vectors:
K (0.000, 0.000, 0.000)
Co (0.000, 0.500, 0.554)
Co (0.500, 0.000, 0.554)
Se (0.500, 0.500, 0.340)


Copy entry 5 word for word.
First-principles (GGA-PBE) data for crystalline K6CoSe4 at its relaxed geometry, as listed in Alexandria.

Summary:
VASP energy in eV/f.u.: -37.86
Space-group type: P6_3mc
Uncorrected formation energy in kJ/mol of formula units: -987.3
Total moment in μB per formula unit: 3.0

Cell lengths 10.210, 10.210, 7.985 Å; angles 90.00, 90.00, 120.00 degrees
Sites, in units of the cell vectors:
K (0.056, 0.528, 0.000)
K (0.147, 0.293, 0.679)
K (0.147, 0.853, 0.679)
K (0.293, 0.147, 0.179)
K (0.472, 0.528, 0.000)
K (0.472, 0.944, 0.000)
K (0.528, 0.056, 0.500)
K (0.528, 0.472, 0.500)
K (0.707, 0.853, 0.679)
K (0.853, 0.147, 0.179)
K (0.853, 0.707, 0.179)
K (0.944, 0.472, 0.500)
Co (0.333, 0.667, 0.386)
Co (0.667, 0.333, 0.886)
Se (0.199, 0.398, 0.288)
Se (0.199, 0.801, 0.288)
Se (0.333, 0.667, 0.698)
Se (0.398, 0.199, 0.788)
Se (0.602, 0.801, 0.288)
Se (0.667, 0.333, 0.198)
Se (0.801, 0.199, 0.788)
Se (0.801, 0.602, 0.788)